1.
Below is a relaxed UTaV crystal, with properties calculated at the PBE level.

Properties
**Distance to the lowest polymorph of the same formula**: 12 meV per atom
**Size of the total moment**: 0.000 μB/f.u.
**Formation energy**: 0.25 eV/atom
**Final energy**: -10.505 eV per atom
**Space-group type**: Pmn2_1, No. 31

Unit cell a=8.101 b=5.444 c=5.444 alpha=118.77 beta=90.00 gamma=90.00
Atoms (fractional coordinates):
V1 0.167 0.366 0.117
V2 0.167 0.867 0.617
V3 0.667 0.133 0.383
V4 0.667 0.634 0.883
Ta1 0.834 0.624 0.374
Ta2 0.834 0.124 0.874
Ta3 0.334 0.876 0.126
Ta4 0.334 0.376 0.626
U1 0.000 0.126 0.376
U2 0.500 0.874 0.624
U3 0.501 0.374 0.124
U4 0.001 0.626 0.876

***

2.
Below is a relaxed SrTm2Cd crystal, with properties calculated at the PBE level.

Properties
**Distance to the lowest polymorph of the same formula**: 0 meV per atom
**Size of the total moment**: 0.000 μB/f.u.
**Formation energy**: -0.01 eV/atom
**Final energy**: -2.892 eV per atom
**Space-group type**: P4/mmm, No. 123

Unit cell a=3.736 b=3.736 c=9.453 alpha=90.00 beta=90.00 gamma=90.00
Atoms (fractional coordinates):
Sr1 0.500 0.500 0.500
Tm1 0.000 0.000 0.812
Tm2 0.000 0.000 0.188
Cd1 0.500 0.500 0.000

***

3.
Below is a relaxed ErPaCr4 crystal, with properties calculated at the PBE level.

Properties
**Size of the total moment**: 0.000 μB/f.u.
**Formation energy**: 0.23 eV/atom
**Final energy**: -8.530 eV per atom
**Space-group type**: F-43m, No. 216

Unit cell a=5.151 b=5.151 c=5.151 alpha=60.00 beta=60.00 gamma=60.00
Atoms (fractional coordinates):
Cr1 0.626 0.626 0.123
Cr2 0.626 0.123 0.626
Cr3 0.626 0.626 0.626
Cr4 0.123 0.626 0.626
Pa1 0.000 0.000 0.000
Er1 0.250 0.250 0.250

***

4.
Below is a relaxed Pm3YPb2C crystal, with properties calculated at the PBE level.

Properties
**Size of the total moment**: 0.000 μB/f.u.
**Formation energy**: -0.52 eV/atom
**Final energy**: -5.861 eV per atom
**Space-group type**: Immm, No. 71

Unit cell a=4.872 b=4.979 c=8.988 alpha=106.08 beta=105.72 gamma=90.00
Atoms (fractional coordinates):
Pm1 0.000 0.500 0.000
Pm2 0.159 0.159 0.319
Pm3 0.841 0.841 0.681
Y1 0.500 0.000 0.000
Pb1 0.640 0.640 0.281
Pb2 0.360 0.360 0.719
C1 0.000 0.000 0.000

***

5.
Below is a relaxed Th2Fe2B2C crystal, with properties calculated at the PBE level.

Properties
**Size of the total moment**: 0.000 μB/f.u.
**Formation energy**: -0.38 eV/atom
**Final energy**: -8.139 eV per atom
**Space-group type**: C2/m, No. 12

Unit cell a=3.684 b=5.464 c=5.813 alpha=71.53 beta=71.52 gamma=70.30
Atoms (fractional coordinates):
Th1 0.562 0.197 0.679
Th2 0.438 0.803 0.321
Fe1 0.203 0.683 0.911
Fe2 0.797 0.317 0.089
B1 0.197 0.378 0.228
B2 0.803 0.622 0.772
C1 0.000 0.000 0.000